[1]
The following is a meta-GGA SCAN calculation of a crystal of KLaRh3 relaxed with PBEsol, from the Alexandria database.

Properties
- ΔH_f (0 K): 1.261 eV per atom
- Crystal system: cubic
- Offset from the most stable computed form: 232.6 kJ/mol of formula units

Cell: 4.699 4.699 4.699 Å, 90.00 90.00 90.00°
Last column: magnetic moment on the atom in μB.
Atoms (fractional coordinates):
Rh 0.000 0.000 0.500  0.34
Rh 0.000 0.500 0.000  0.34
Rh 0.500 0.000 0.000  0.34
K 0.000 0.000 0.000  -0.01
La 0.500 0.500 0.500  -0.06


[2]
The following is a meta-GGA SCAN calculation of a crystal of KLaRh3 relaxed with PBEsol, from the Alexandria database.

Properties
- ΔH_f (0 K): 0.779 eV per atom
- Crystal system: cubic
- Offset from the most stable computed form: 0.0 kJ/mol of formula units

Cell: 4.931 4.931 4.931 Å, 90.00 90.00 90.00°
Last column: magnetic moment on the atom in μB.
Atoms (fractional coordinates):
Rh 0.000 0.500 0.000  0.22
Rh 0.000 0.000 0.500  0.22
Rh 0.500 0.000 0.000  0.22
La 0.000 0.000 0.000  -0.04
K 0.500 0.500 0.500  0.00


[3]
The following is a meta-GGA SCAN calculation of a crystal of K2LaRh relaxed with PBEsol, from the Alexandria database.

Properties
- ΔH_f (0 K): -0.108 eV per atom
- Crystal system: monoclinic

Cell: 4.457 4.528 10.090 Å, 102.39 90.00 119.48°
Last column: magnetic moment on the atom in μB.
Atoms (fractional coordinates):
La 0.544 0.088 0.625  0.07
K 0.967 0.934 0.929  0.00
K 0.776 0.553 0.322  0.00
Rh 0.213 0.425 0.625  -0.01


[4]
The following is a meta-GGA SCAN calculation of a crystal of KLaRuRh2 relaxed with PBEsol, from the Alexandria database.

Properties
- ΔH_f (0 K): 1.942 eV per atom
- Crystal system: tetragonal

Cell: 4.494 4.494 5.123 Å, 90.00 90.00 90.00°
Last column: magnetic moment on the atom in μB.
Atoms (fractional coordinates):
K 0.000 0.000 0.000  -0.02
La 0.000 0.000 0.500  -0.18
Ru 0.500 0.500 0.500  1.75
Rh 0.500 0.000 0.000  0.33
Rh 0.000 0.500 0.000  0.33


[5]
The following is a meta-GGA SCAN calculation of a crystal of KLa3Ru relaxed with PBEsol, from the Alexandria database.

Properties
- ΔH_f (0 K): 1.637 eV per atom
- Crystal system: cubic

Cell: 5.207 5.207 5.207 Å, 90.00 90.00 90.00°
Atoms (fractional coordinates):
Ru 0.500 0.500 0.500
K 0.000 0.000 0.000
La 0.500 0.000 0.000
La 0.000 0.000 0.500
La 0.000 0.500 0.000


[6]
The following is a meta-GGA SCAN calculation of a crystal of KLa2Ru relaxed with PBEsol, from the Alexandria database.

Properties
- ΔH_f (0 K): 0.574 eV per atom
- Crystal system: tetragonal
- Offset from the most stable computed form: 285.4 kJ/mol of formula units

Cell: 4.325 4.325 6.210 Å, 110.38 110.38 90.00°
Atoms (fractional coordinates):
La 0.000 0.000 0.000
La 0.750 0.250 0.500
Ru 0.500 0.500 0.000
K 0.250 0.750 0.500


Number 1: total magnetic moment 0.7 Bohr magnetons per cell, final energy -29.29 eV per atom. Number 2: total magnetic moment 0.5 Bohr magnetons per cell, final energy -29.77 eV per atom. Number 3: total magnetic moment 0.2 Bohr magnetons per cell, final energy -23.49 eV per atom. Number 4: total magnetic moment 1.9 Bohr magnetons per cell, final energy -28.82 eV per atom. Number 5: total magnetic moment 0.0 Bohr magnetons per cell, final energy -32.86 eV per atom. Number 6: total magnetic moment 0.0 Bohr magnetons per cell, final energy -31.77 eV per atom.